Density functional theory data (PBE) for LiZr2ScCl after structural relaxation.

Cell lengths 5.195, 5.027, 5.195 Å; angles 90.00, 90.00, 90.00 degrees
Element x y z (fractional)
Sc  0.000  0.000  0.000
Li  0.500  0.500  0.500
Zr  0.000  0.000  0.500
Zr  0.500  0.000  0.000
Cl  0.000  0.500  0.000

raw formation energy = 74.3 kJ/mol of atoms
energy = -23.3 eV for the cell shown